Entry from Alexandria: crystalline CaZn2BRu2 at its relaxed geometry (PBE-GGA).

Summary:
D(E_F)	0.778	states/eV/atom
ρ	6.6	g/cm³
energy relative to the elements	-0.234	eV/atom

Geometry as POSCAR:
```
CaZn2BRu2
1.0
4.211 0.000 0.000
0.000 4.211 0.000
0.000 0.000 5.479
Ca Zn B Ru
1 2 1 2
direct
0.000 0.000 0.000
0.500 0.500 0.231
0.500 0.500 0.769
0.000 0.000 0.500
0.000 0.500 0.500
0.500 0.000 0.500
```